# 1
Ac3HoTc2N6, optimized geometry, DFT GGA-PBE; N(E_F) = 7.49 states/eV/cell; formation energy (no corrections) = -9.58 eV/f.u.; E_tot = -8.10 eV/atom
1.0
6.054 0.000 0.000
-3.027 5.243 0.000
0.000 0.000 6.910
Ac Ho Tc N
3 1 2 6
Cartesian
0.000 0.000 0.000
0.000 3.495 4.698
3.027 1.748 2.212
0.000 0.000 3.455
0.000 3.495 1.322
3.027 1.748 5.588
0.000 1.788 2.019
-1.479 4.349 2.019
1.548 0.894 4.891
1.479 4.349 2.019
4.506 0.894 4.891
3.027 3.455 4.891

***

# 2
CaSeBr2O, optimized geometry, DFT GGA-PBE; ΔE to the lowest computed polymorph = 0.000 eV/atom; N(E_F) = 0.74 states/eV/cell; formation energy (no corrections) = -2.51 eV/f.u.; E_tot = -3.26 eV/atom
1.0
4.859 0.000 0.000
0.000 4.859 0.000
0.000 0.000 4.563
Ca Se Br O
1 1 2 1
Cartesian
0.000 0.000 0.000
2.430 2.430 0.000
0.000 2.430 2.282
2.430 0.000 2.282
2.430 2.430 2.282

***

# 3
HfPd4Pt3, optimized geometry, DFT GGA-PBE; N(E_F) = 8.18 states/eV/cell; DFT formation energy = -418 meV per atom; E_tot = -6.52 eV/atom
1.0
9.279 -1.523 0.000
9.279 1.523 0.000
-1.196 0.000 4.579
Hf Pd Pt
1 4 3
Cartesian
0.000 0.000 0.000
1.389 0.000 3.498
4.343 0.000 1.138
13.018 0.000 3.440
15.973 0.000 1.080
6.127 0.000 3.369
8.681 0.000 2.289
11.234 0.000 1.210